(1)
Material: HfUPd14
Method: DFT, PBE-GGA
State: optimized geometry

Cell: 5.7398 5.7398 7.8186 Å, 90.00 90.00 90.00°
Last column: nearest neighbours and their distance in Å.
Fractional coordinates of all 16 atoms:
Hf  0.0000  0.0000  0.0000  12 Pd 2.80-2.87
U  0.5000  0.5000  0.0000  12 Pd 2.80-2.87
Pd  0.0000  0.0000  0.5000  12 Pd 2.83-2.87
Pd  0.0000  0.5000  0.0000  8 Pd 2.80, 2 Hf 2.87, 2 U 2.87
Pd  0.0000  0.5000  0.5000  12 Pd 2.83-2.87
Pd  0.2500  0.2500  0.2475  1 U 2.80, 10 Pd 2.80-2.87, 1 Hf 2.80
Pd  0.2500  0.2500  0.7525  1 U 2.80, 10 Pd 2.80-2.87, 1 Hf 2.80
Pd  0.2500  0.7500  0.2475  1 U 2.80, 10 Pd 2.80-2.87, 1 Hf 2.80
Pd  0.2500  0.7500  0.7525  1 U 2.80, 10 Pd 2.80-2.87, 1 Hf 2.80
Pd  0.5000  0.0000  0.0000  8 Pd 2.80, 2 Hf 2.87, 2 U 2.87
Pd  0.5000  0.0000  0.5000  12 Pd 2.83-2.87
Pd  0.5000  0.5000  0.5000  12 Pd 2.83-2.87
Pd  0.7500  0.2500  0.2475  1 U 2.80, 10 Pd 2.80-2.87, 1 Hf 2.80
Pd  0.7500  0.2500  0.7525  1 U 2.80, 10 Pd 2.80-2.87, 1 Hf 2.80
Pd  0.7500  0.7500  0.2475  1 U 2.80, 10 Pd 2.80-2.87, 1 Hf 2.80
Pd  0.7500  0.7500  0.7525  1 U 2.80, 10 Pd 2.80-2.87, 1 Hf 2.80


(2)
Material: Hf2UPd9
Method: DFT, PBE-GGA
State: optimized geometry

Cell: 4.0599 4.0599 12.1858 Å, 90.00 90.00 90.00°
Last column: nearest neighbours and their distance in Å.
Fractional coordinates of all 12 atoms:
Hf  0.0000  0.0000  0.1633  12 Pd 2.82-2.87
Hf  0.0000  0.0000  0.8367  12 Pd 2.82-2.87
U  0.0000  0.0000  0.5000  12 Pd 2.87-2.95
Pd  0.0000  0.5000  0.0000  8 Pd 2.83-2.87, 4 Hf 2.84
Pd  0.0000  0.5000  0.3240  2 Hf 2.82, 8 Pd 2.84-2.95, 2 U 2.95
Pd  0.0000  0.5000  0.6760  2 Hf 2.82, 8 Pd 2.84-2.95, 2 U 2.95
Pd  0.5000  0.0000  0.0000  8 Pd 2.83-2.87, 4 Hf 2.84
Pd  0.5000  0.0000  0.3240  2 Hf 2.82, 8 Pd 2.84-2.95, 2 U 2.95
Pd  0.5000  0.0000  0.6760  2 Hf 2.82, 8 Pd 2.84-2.95, 2 U 2.95
Pd  0.5000  0.5000  0.1615  8 Pd 2.83-2.84, 4 Hf 2.87
Pd  0.5000  0.5000  0.5000  4 U 2.87, 8 Pd 2.95
Pd  0.5000  0.5000  0.8385  8 Pd 2.83-2.84, 4 Hf 2.87


(3)
Material: HfUPd6
Method: DFT, PBE-GGA
State: optimized geometry

Cell: 4.0839 4.0839 8.1728 Å, 90.00 90.00 90.00°
Last column: nearest neighbours and their distance in Å.
Fractional coordinates of all 8 atoms:
Hf  0.0000  0.0000  0.0000  12 Pd 2.83-2.89
U  0.0000  0.0000  0.5000  12 Pd 2.89-2.95
Pd  0.0000  0.5000  0.2398  2 Hf 2.83, 8 Pd 2.83-2.95, 2 U 2.95
Pd  0.0000  0.5000  0.7602  2 Hf 2.83, 8 Pd 2.83-2.95, 2 U 2.95
Pd  0.5000  0.0000  0.2398  2 Hf 2.83, 8 Pd 2.83-2.95, 2 U 2.95
Pd  0.5000  0.0000  0.7602  2 Hf 2.83, 8 Pd 2.83-2.95, 2 U 2.95
Pd  0.5000  0.5000  0.0000  8 Pd 2.83, 4 Hf 2.89
Pd  0.5000  0.5000  0.5000  4 U 2.89, 8 Pd 2.95


(4)
Material: HfU2Pd9
Method: DFT, PBE-GGA
State: optimized geometry

Cell: 4.1075 4.1075 12.3266 Å, 90.00 90.00 90.00°
Last column: nearest neighbours and their distance in Å.
Fractional coordinates of all 12 atoms:
Hf  0.0000  0.0000  0.0000  12 Pd 2.83-2.90
U  0.0000  0.0000  0.3301  12 Pd 2.90-2.95
U  0.0000  0.0000  0.6699  12 Pd 2.90-2.95
Pd  0.0000  0.5000  0.1579  8 Pd 2.83-2.94, 2 Hf 2.83, 2 U 2.95
Pd  0.0000  0.5000  0.5000  8 Pd 2.90-2.95, 4 U 2.93
Pd  0.0000  0.5000  0.8421  2 Hf 2.83, 8 Pd 2.83-2.94, 2 U 2.95
Pd  0.5000  0.0000  0.1579  8 Pd 2.83-2.94, 2 Hf 2.83, 2 U 2.95
Pd  0.5000  0.0000  0.5000  8 Pd 2.90-2.95, 4 U 2.93
Pd  0.5000  0.0000  0.8421  2 Hf 2.83, 8 Pd 2.83-2.94, 2 U 2.95
Pd  0.5000  0.5000  0.0000  8 Pd 2.83, 4 Hf 2.90
Pd  0.5000  0.5000  0.3281  4 U 2.90, 8 Pd 2.94-2.95
Pd  0.5000  0.5000  0.6719  4 U 2.90, 8 Pd 2.94-2.95


(5)
Material: HfVPd
Method: DFT, PBE-GGA
State: optimized geometry

Results
Excess energy over the best structure of this formula in the dataset = 0.0 kJ/mol of atoms

Cell: 5.9486 5.9486 5.9486 Å, 150.54 150.54 42.15°
Last column: nearest neighbours and their distance in Å.
Fractional coordinates of all 3 atoms:
Hf  0.0000  0.0000  0.0000  4 V 2.86, 4 Pd 3.01, 4 Hf 3.03
V  0.6714  0.6714  0.0000  4 Pd 2.63, 4 Hf 2.86
Pd  0.3097  0.3097  0.0000  4 V 2.63


(6)
Material: Hf2VPd9
Method: DFT, PBE-GGA
State: optimized geometry

Cell: 3.9820 3.9820 11.9300 Å, 90.00 90.00 90.00°
Last column: nearest neighbours and their distance in Å.
Fractional coordinates of all 12 atoms:
Hf  0.0000  0.0000  0.1711  12 Pd 2.80-2.85
Hf  0.0000  0.0000  0.8289  12 Pd 2.80-2.85
V  0.0000  0.0000  0.5000  12 Pd 2.79-2.82
Pd  0.0000  0.5000  0.0000  8 Pd 2.82-2.83, 4 Hf 2.85
Pd  0.0000  0.5000  0.3366  8 Pd 2.79-2.83, 2 V 2.79, 2 Hf 2.80
Pd  0.0000  0.5000  0.6634  8 Pd 2.79-2.83, 2 V 2.79, 2 Hf 2.80
Pd  0.5000  0.0000  0.0000  8 Pd 2.82-2.83, 4 Hf 2.85
Pd  0.5000  0.0000  0.3366  8 Pd 2.79-2.83, 2 V 2.79, 2 Hf 2.80
Pd  0.5000  0.0000  0.6634  8 Pd 2.79-2.83, 2 V 2.79, 2 Hf 2.80
Pd  0.5000  0.5000  0.1680  4 Hf 2.82, 8 Pd 2.83
Pd  0.5000  0.5000  0.5000  8 Pd 2.79, 4 V 2.82
Pd  0.5000  0.5000  0.8320  4 Hf 2.82, 8 Pd 2.83


(7)
Material: HfVPd
Method: DFT, PBE-GGA
State: optimized geometry

Results
Excess energy over the best structure of this formula in the dataset = 32.2 kJ/mol of atoms

Cell: 10.3211 9.8570 4.8803 Å, 81.36 70.77 27.87°
Last column: nearest neighbours and their distance in Å.
Fractional coordinates of all 12 atoms:
Hf  0.0673  0.6827  0.0673  4 V 2.80-2.81, 3 Hf 2.85-3.13, 2 Pd 2.89
Hf  0.3173  0.9327  0.3173  4 V 2.80-2.81, 3 Hf 2.85-3.13, 2 Pd 2.89
Hf  0.6827  0.0673  0.6827  4 V 2.80-2.81, 3 Hf 2.85-3.13, 2 Pd 2.89
Hf  0.9327  0.3173  0.9327  4 V 2.80-2.81, 3 Hf 2.85-3.13, 2 Pd 2.89
V  0.0022  0.0022  0.2478  2 V 2.44, 2 Pd 2.63
V  0.2478  0.2478  0.0022  2 V 2.44, 2 Pd 2.63
V  0.7522  0.7522  0.9978  2 V 2.44, 2 Pd 2.63
V  0.9978  0.9978  0.7522  2 V 2.44, 2 Pd 2.63
Pd  0.2991  0.2991  0.4509  4 V 2.63-2.83, 1 Pd 2.88, 2 Hf 2.89
Pd  0.4509  0.4509  0.2991  4 V 2.63-2.83, 1 Pd 2.88, 2 Hf 2.89
Pd  0.5491  0.5491  0.7009  4 V 2.63-2.83, 1 Pd 2.88, 2 Hf 2.89
Pd  0.7009  0.7009  0.5491  4 V 2.63-2.83, 1 Pd 2.88, 2 Hf 2.89


(8)
Material: HfVPd6
Method: DFT, PBE-GGA
State: optimized geometry

Cell: 3.9634 3.9634 7.9184 Å, 90.00 90.00 90.00°
Last column: nearest neighbours and their distance in Å.
Fractional coordinates of all 8 atoms:
Hf  0.0000  0.0000  0.0000  12 Pd 2.80-2.83
V  0.0000  0.0000  0.5000  12 Pd 2.77-2.80
Pd  0.0000  0.5000  0.2549  8 Pd 2.77-2.83, 2 V 2.77, 2 Hf 2.83
Pd  0.0000  0.5000  0.7451  8 Pd 2.77-2.83, 2 V 2.77, 2 Hf 2.83
Pd  0.5000  0.0000  0.2549  8 Pd 2.77-2.83, 2 V 2.77, 2 Hf 2.83
Pd  0.5000  0.0000  0.7451  8 Pd 2.77-2.83, 2 V 2.77, 2 Hf 2.83
Pd  0.5000  0.5000  0.0000  4 Hf 2.80, 8 Pd 2.83
Pd  0.5000  0.5000  0.5000  8 Pd 2.77, 4 V 2.80


(9)
Material: HfV2Pd8
Method: DFT, PBE-GGA
State: optimized geometry

Cell: 7.3355 7.3355 6.3058 Å, 106.33 106.33 31.40°
Last column: nearest neighbours and their distance in Å.
Fractional coordinates of all 11 atoms:
Hf  0.0000  0.0000  0.0000  12 Pd 2.78-2.86
V  0.2759  0.2759  0.3533  10 Pd 2.67-2.79, 2 V 2.95
V  0.7241  0.7241  0.6467  10 Pd 2.67-2.79, 2 V 2.95
Pd  0.1021  0.1021  0.4600  3 V 2.67-2.73, 7 Pd 2.75-2.87, 1 Hf 2.84
Pd  0.1829  0.1829  0.9183  3 V 2.67-2.79, 8 Pd 2.73-2.82, 1 Hf 2.78
Pd  0.3559  0.3559  0.8004  3 V 2.70-2.71, 7 Pd 2.75-2.89, 2 Hf 2.86
Pd  0.4548  0.4548  0.2720  1 V 2.72, 9 Pd 2.78-2.89, 2 Hf 2.82
Pd  0.5452  0.5452  0.7280  1 V 2.72, 9 Pd 2.78-2.89, 2 Hf 2.82
Pd  0.6441  0.6441  0.1996  3 V 2.70-2.71, 7 Pd 2.75-2.89, 2 Hf 2.86
Pd  0.8171  0.8171  0.0817  3 V 2.67-2.79, 8 Pd 2.73-2.82, 1 Hf 2.78
Pd  0.8979  0.8979  0.5400  3 V 2.67-2.73, 7 Pd 2.75-2.87, 1 Hf 2.84


(10)
Material: HfPdW2
Method: DFT, PBE-GGA
State: optimized geometry

Results
Excess energy over the best structure of this formula in the dataset = 0.0 kJ/mol of atoms

Cell: 4.5764 4.5764 4.5764 Å, 60.00 60.00 60.00°
Last column: nearest neighbours and their distance in Å.
Fractional coordinates of all 4 atoms:
Hf  0.0000  0.0000  0.0000  8 W 2.80
Pd  0.5000  0.5000  0.5000  8 W 2.80
W  0.2500  0.2500  0.2500  4 Hf 2.80, 4 Pd 2.80
W  0.7500  0.7500  0.7500  4 Hf 2.80, 4 Pd 2.80


(11)
Material: Hf2PdW
Method: DFT, PBE-GGA
State: optimized geometry

Cell: 9.8166 9.8166 9.8166 Å, 155.63 155.63 34.73°
Last column: nearest neighbours and their distance in Å.
Fractional coordinates of all 8 atoms:
Hf  0.1210  0.6250  0.9960  2 W 2.76, 2 Pd 2.77, 4 Hf 2.91-2.95
Hf  0.3750  0.3710  0.4960  2 W 2.76, 2 Pd 2.77, 4 Hf 2.91-2.95
Hf  0.6290  0.1250  0.0040  2 W 2.76, 2 Pd 2.77, 4 Hf 2.91-2.95
Hf  0.8750  0.8790  0.5040  2 W 2.76, 2 Pd 2.77, 4 Hf 2.91-2.95
Pd  0.2500  0.7500  0.5000  4 Hf 2.77, 4 W 2.93
Pd  0.5000  0.5000  0.0000  4 Hf 2.77, 4 W 2.93
W  0.0000  0.0000  0.0000  4 Hf 2.76, 4 Pd 2.93
W  0.7500  0.2500  0.5000  4 Hf 2.76, 4 Pd 2.93


(12)
Material: HfPdW3
Method: DFT, PBE-GGA
State: optimized geometry

Results
Excess energy over the best structure of this formula in the dataset = 0.0 kJ/mol of atoms

Cell: 4.7319 4.7319 4.7319 Å, 90.00 90.00 90.00°
Last column: nearest neighbours and their distance in Å.
Fractional coordinates of all 5 atoms:
Hf  0.0000  0.0000  0.0000  12 W 3.35
Pd  0.5000  0.5000  0.5000  6 W 2.37
W  0.0000  0.5000  0.5000  2 Pd 2.37
W  0.5000  0.0000  0.5000  2 Pd 2.37
W  0.5000  0.5000  0.0000  2 Pd 2.37


Fermi-level density of states values (in states/eV per atom) by entry order: 1.0238 0.7478 1.1199 1.3759 0.7910 0.4337 1.1798 0.5433 0.8610 1.0335 1.1364 1.3888.
Formation energy from the elements values (in eV per atom) by entry order: -0.408 -0.735 -0.673 -0.615 -0.227 -0.657 0.107 -0.546 -0.419 0.402 0.604 1.944.